# ErThZn3 (PBE, relaxed)
data_ErThZn3
_cell_length_a 3.5696
_cell_length_b 27.1637
_cell_length_c 4.5404
_cell_angle_alpha 90.00
_cell_angle_beta 90.00
_cell_angle_gamma 90.00
_symmetry_space_group_name_H-M 'C m c m'
_symmetry_Int_Tables_number 63
_symmetry_space_group_name_Hall '-C 2c 2'
loop_
_atom_site_label
_atom_site_type_symbol
_atom_site_fract_x
_atom_site_fract_y
_atom_site_fract_z
_atom_site_occupancy
Er1 Er 0.0000 0.2097 0.2500 1
Th1 Th 0.0000 0.0741 0.7500 1
Zn1 Zn 0.0000 0.3243 0.2500 1
Zn2 Zn 0.0000 0.3782 0.7500 1
Zn3 Zn 0.0000 0.4761 0.7500 1
# Calculated formation energy, meV per atom: -286
# Magnetic moment, μB per formula unit: 0.000
# Volume, Å³/f.u.: 110.1



# FeTe (PBE, relaxed)
data_FeTe
_cell_length_a 3.2613
_cell_length_b 3.2613
_cell_length_c 3.2613
_cell_angle_alpha 90.00
_cell_angle_beta 90.00
_cell_angle_gamma 90.00
_symmetry_space_group_name_H-M 'P m -3 m'
_symmetry_Int_Tables_number 221
_symmetry_space_group_name_Hall '-P 4 2 3'
loop_
_atom_site_label
_atom_site_type_symbol
_atom_site_fract_x
_atom_site_fract_y
_atom_site_fract_z
_atom_site_occupancy
Fe1 Fe 0.0000 0.0000 0.0000 1
Te1 Te 0.5000 0.5000 0.5000 1
# Raw formation energy, kJ/mol of atoms: 44.3
# Magnetic moment, μB per formula unit: 1.769
# Volume, Å³/f.u.: 34.7